# 1
# PBE-GGA Y3Pt5, optimized geometry
data_Y3Pt5
_chemical_formula_sum 'Y12 Pt20'
_space_group_name_H-M_alt 'C 1 2/m 1'
_space_group_IT_number 12
_space_group_name_Hall '-C 2y'
_cell_length_a 6.255
_cell_length_b 15.442
_cell_length_c 7.115
_cell_angle_alpha 90.00
_cell_angle_beta 106.95
_cell_angle_gamma 90.00
loop_
_atom_site_label
_atom_site_type_symbol
_atom_site_fract_x
_atom_site_fract_y
_atom_site_fract_z
Y1 Y 0.000 0.170 0.000
Y2 Y 0.000 0.224 0.500
Y3 Y 0.150 0.000 0.720
Pt1 Pt 0.088 0.340 0.197
Pt2 Pt 0.159 0.500 0.888
Pt3 Pt 0.226 0.403 0.597
# Fermi-level density of states: 16.12 states/eV/cell
# Energy above the lowest structure with this stoichiometry: 0.138 eV/atom
# Formation energy: -1.026 eV per atom

=====

# 2
# PBE-GGA GaCo3Ge3, optimized geometry
data_GaCo3Ge3
_chemical_formula_sum 'Ga3 Co9 Ge9'
_space_group_name_H-M_alt 'R -3 m'
_space_group_IT_number 166
_space_group_name_Hall '-R 3 2"'
_cell_length_a 8.1855
_cell_length_b 8.1855
_cell_length_c 4.9221
_cell_angle_alpha 90.00
_cell_angle_beta 90.00
_cell_angle_gamma 120.00
loop_
_atom_site_label
_atom_site_type_symbol
_atom_site_fract_x
_atom_site_fract_y
_atom_site_fract_z
Ga1 Ga 0.0000 0.0000 0.0000
Co1 Co 0.0000 0.5000 0.5000
Ge1 Ge 0.0000 0.5000 0.0000
# Fermi-level density of states: 14.85 states/eV/cell
# Formation energy: -0.054 eV per atom

=====

# 3
# PBE-GGA SmMg3Pd4, optimized geometry
data_SmMg3Pd4
_chemical_formula_sum 'Sm3 Mg9 Pd12'
_space_group_name_H-M_alt 'R -3 m'
_space_group_IT_number 166
_space_group_name_Hall '-R 3 2"'
_cell_length_a 4.6121
_cell_length_b 4.6121
_cell_length_c 23.7778
_cell_angle_alpha 90.00
_cell_angle_beta 90.00
_cell_angle_gamma 120.00
loop_
_atom_site_label
_atom_site_type_symbol
_atom_site_fract_x
_atom_site_fract_y
_atom_site_fract_z
Sm1 Sm 0.0000 0.0000 0.0000
Mg1 Mg 0.0000 0.0000 0.2423
Mg2 Mg 0.0000 0.0000 0.5000
Pd1 Pd 0.0000 0.0000 0.1261
Pd2 Pd 0.0000 0.0000 0.3884
# Fermi-level density of states: 9.68 states/eV/cell
# Formation energy: -0.720 eV per atom